(1)
The following is a DFT calculation (PBE) of a relaxed Ga12Sb5Pb3 crystal.

Cell lengths 14.4253, 14.4253, 14.4253 Å; angles 109.47, 109.47, 109.47 degrees
Fractional positions:
Sb (0.0000, 0.5000, 0.5000)
Ga (0.0616, 0.6419, 0.7301)
Ga (0.6419, 0.5803, 0.9118)
Ga (0.9197, 0.0882, 0.8581)
Pb (0.2500, 0.1250, 0.3750)
Ga (0.4197, 0.3581, 0.5882)
Ga (0.4384, 0.6685, 0.0803)
Pb (0.3750, 0.7500, 0.6250)
Ga (0.5882, 0.8581, 0.4197)
Ga (0.4197, 0.0616, 0.3315)
Ga (0.6685, 0.4384, 0.5803)
Sb (0.0000, 0.5000, 0.0000)
Pb (0.3750, 0.6250, 0.2500)
Ga (0.6685, 0.2301, 0.5882)
Ga (0.5803, 0.6419, 0.4118)
Pb (0.7500, 0.8750, 0.6250)
Pb (0.2500, 0.6250, 0.8750)
Ga (0.0882, 0.9197, 0.3581)
Ga (0.9384, 0.5803, 0.1685)
Ga (0.5803, 0.9384, 0.6685)
Ga (0.3581, 0.9384, 0.7699)
Ga (0.5616, 0.3315, 0.9197)
Ga (0.2301, 0.5616, 0.6419)
Sb (0.0000, 0.0000, 0.5000)
Ga (0.0882, 0.1685, 0.2301)
Ga (0.8581, 0.2699, 0.4384)
Pb (0.8750, 0.1250, 0.2500)
Pb (0.6250, 0.2500, 0.3750)
Ga (0.7699, 0.3315, 0.9118)
Sb (0.3750, 0.2500, 0.1250)
Pb (0.8750, 0.7500, 0.1250)
Ga (0.9197, 0.8315, 0.5616)
Ga (0.3315, 0.7699, 0.4118)
Sb (0.7500, 0.6250, 0.3750)
Ga (0.8315, 0.9118, 0.2699)
Ga (0.4384, 0.7699, 0.8581)
Ga (0.7699, 0.4384, 0.3581)
Pb (0.1250, 0.2500, 0.8750)
Sb (0.0000, 0.0000, 0.0000)
Ga (0.0616, 0.4197, 0.8315)
Ga (0.9384, 0.3581, 0.2699)
Sb (0.2500, 0.8750, 0.1250)
Ga (0.3581, 0.4197, 0.0882)
Sb (0.2500, 0.3750, 0.6250)
Sb (0.6250, 0.8750, 0.2500)
Ga (0.2699, 0.8581, 0.9384)
Ga (0.9118, 0.8315, 0.7699)
Ga (0.1685, 0.0803, 0.9384)
Sb (0.6250, 0.7500, 0.8750)
Ga (0.1685, 0.0882, 0.7301)
Ga (0.8315, 0.9197, 0.0616)
Sb (0.1250, 0.7500, 0.3750)
Ga (0.2699, 0.4118, 0.8315)
Sb (0.5000, 0.5000, 0.0000)
Ga (0.6419, 0.0616, 0.2301)
Ga (0.4118, 0.1419, 0.5803)
Ga (0.7301, 0.5882, 0.1685)
Pb (0.6250, 0.3750, 0.7500)
Sb (0.5000, 0.0000, 0.5000)
Ga (0.1419, 0.7301, 0.5616)
Sb (0.1250, 0.3750, 0.2500)
Ga (0.8581, 0.5882, 0.9197)
Ga (0.5616, 0.2301, 0.1419)
Sb (0.7500, 0.1250, 0.8750)
Pb (0.1250, 0.8750, 0.7500)
Ga (0.0803, 0.9118, 0.1419)
Ga (0.9118, 0.0803, 0.6419)
Ga (0.4118, 0.2699, 0.3315)
Sb (0.5000, 0.0000, 0.0000)
Ga (0.3315, 0.5616, 0.4197)
Sb (0.3750, 0.1250, 0.7500)
Pb (0.7500, 0.3750, 0.1250)
Ga (0.2301, 0.6685, 0.0882)
Ga (0.7301, 0.1419, 0.0616)
Ga (0.0803, 0.1685, 0.4384)
Sb (0.8750, 0.2500, 0.6250)
Ga (0.5882, 0.7301, 0.6685)
Ga (0.1419, 0.4118, 0.0803)
Sb (0.8750, 0.6250, 0.7500)
Sb (0.5000, 0.5000, 0.5000)

---

(2)
The following is a DFT calculation (PBE) of a relaxed Ga2SbPb crystal.

Cell lengths 4.2443, 4.2443, 7.2787 Å; angles 73.05, 73.05, 60.00 degrees
Fractional positions:
Sb (0.6678, 0.6678, 0.9966)
Ga (0.2589, 0.2589, 0.2232)
Ga (0.0740, 0.0740, 0.7780)
Pb (0.4993, 0.4993, 0.5021)

Properties
ΔE to the lowest computed polymorph ... 26 meV per atom

---

(3)
The following is a DFT calculation (PBE) of a relaxed GaSb2Pb crystal.

Cell lengths 6.6833, 6.6833, 8.0290 Å; angles 65.41, 65.41, 90.00 degrees
Fractional positions:
Ga (0.2500, 0.7500, 0.5000)
Pb (0.0000, 0.0000, 0.0000)
Sb (0.8750, 0.8300, 0.7500)
Sb (0.1700, 0.6250, 0.2500)
Sb (0.3750, 0.4200, 0.7500)
Pb (0.7500, 0.2500, 0.5000)
Ga (0.5000, 0.5000, 0.0000)
Sb (0.5800, 0.1250, 0.2500)

Properties
ΔE to the lowest computed polymorph ... 0 meV per atom

---

(4)
The following is a DFT calculation (PBE) of a relaxed Ga2SbPb2 crystal.

Cell lengths 3.8610, 3.8610, 9.4525 Å; angles 78.22, 78.22, 90.00 degrees
Fractional positions:
Pb (0.3951, 0.3951, 0.2097)
Ga (0.2500, 0.7500, 0.5000)
Ga (0.7500, 0.2500, 0.5000)
Pb (0.6049, 0.6049, 0.7903)
Sb (0.0000, 0.0000, 0.0000)

Properties
ΔE to the lowest computed polymorph ... 19 meV per atom

---

(5)
The following is a DFT calculation (PBE) of a relaxed GaSb3Pb crystal.

Cell lengths 5.3640, 5.3640, 5.3640 Å; angles 90.00, 90.00, 90.00 degrees
Fractional positions:
Pb (0.5000, 0.5000, 0.5000)
Ga (0.0000, 0.0000, 0.0000)
Sb (0.0000, 0.5000, 0.0000)
Sb (0.5000, 0.0000, 0.0000)
Sb (0.0000, 0.0000, 0.5000)

Properties
ΔE to the lowest computed polymorph ... 0 meV per atom

---

(6)
The following is a DFT calculation (PBE) of a relaxed Ga2SbPb crystal.

Cell lengths 6.4149, 6.4149, 7.6549 Å; angles 65.23, 65.23, 90.00 degrees
Fractional positions:
Ga (0.8750, 0.8640, 0.7500)
Ga (0.1360, 0.6250, 0.2500)
Sb (0.2500, 0.7500, 0.5000)
Ga (0.6140, 0.1250, 0.2500)
Pb (0.0000, 0.0000, 0.0000)
Ga (0.3750, 0.3860, 0.7500)
Sb (0.5000, 0.5000, 0.0000)
Pb (0.7500, 0.2500, 0.5000)

Properties
ΔE to the lowest computed polymorph ... 20 meV per atom

---

(7)
The following is a DFT calculation (PBE) of a relaxed GaSb3Pb crystal.

Cell lengths 5.8158, 5.8158, 5.8158 Å; angles 90.00, 90.00, 90.00 degrees
Fractional positions:
Sb (0.0000, 0.0000, 0.5000)
Sb (0.0000, 0.5000, 0.0000)
Pb (0.0000, 0.0000, 0.0000)
Sb (0.5000, 0.0000, 0.0000)
Ga (0.5000, 0.5000, 0.5000)

Properties
ΔE to the lowest computed polymorph ... 463 meV per atom

---

(8)
The following is a DFT calculation (PBE) of a relaxed GaSb2Pb crystal.

Cell lengths 4.8744, 4.7501, 4.7501 Å; angles 90.00, 90.00, 90.00 degrees
Fractional positions:
Sb (0.0000, 0.5000, 0.0000)
Pb (0.5000, 0.0000, 0.0000)
Sb (0.0000, 0.0000, 0.5000)
Ga (0.5000, 0.5000, 0.5000)

Properties
ΔE to the lowest computed polymorph ... 64 meV per atom

---

(9)
The following is a DFT calculation (PBE) of a relaxed GaSiSbPb2 crystal.

Cell lengths 5.9133, 5.1285, 5.9133 Å; angles 90.00, 90.00, 90.00 degrees
Fractional positions:
Ga (0.0000, 0.5000, 0.0000)
Si (0.5000, 0.5000, 0.5000)
Sb (0.0000, 0.0000, 0.0000)
Pb (0.5000, 0.0000, 0.0000)
Pb (0.0000, 0.0000, 0.5000)

---

(10)
The following is a DFT calculation (PBE) of a relaxed GaTc2SbPb crystal.

Cell lengths 4.8681, 5.2122, 4.8681 Å; angles 90.00, 90.00, 90.00 degrees
Site moments in Bohr magnetons follow the coordinates.
Fractional positions:
Sb (0.5000, 0.5000, 0.5000)  -0.04
Ga (0.0000, 0.0000, 0.0000)  -0.08
Tc (0.0000, 0.0000, 0.5000)  1.97
Pb (0.0000, 0.5000, 0.0000)  -0.03
Tc (0.5000, 0.0000, 0.0000)  1.82

---

(11)
The following is a DFT calculation (PBE) of a relaxed GaSbTe2Pb crystal.

Cell lengths 5.4656, 5.4656, 5.3066 Å; angles 90.00, 90.00, 90.00 degrees
Fractional positions:
Pb (0.5000, 0.5000, 0.5000)
Ga (0.0000, 0.0000, 0.0000)
Sb (0.0000, 0.0000, 0.5000)
Te (0.5000, 0.0000, 0.0000)
Te (0.0000, 0.5000, 0.0000)

Properties
ΔE to the lowest computed polymorph ... 0 meV per atom

---

(12)
The following is a DFT calculation (PBE) of a relaxed GaSbTe2Pb crystal.

Cell lengths 5.9415, 5.9415, 5.8181 Å; angles 90.00, 90.00, 90.00 degrees
Site moments in Bohr magnetons follow the coordinates.
Fractional positions:
Ga (0.5000, 0.5000, 0.5000)  0.01
Sb (0.0000, 0.0000, 0.5000)  0.28
Te (0.5000, 0.0000, 0.0000)  0.05
Te (0.0000, 0.5000, 0.0000)  0.05
Pb (0.0000, 0.0000, 0.0000)  0.00

Properties
ΔE to the lowest computed polymorph ... 362 meV per atom

---

no.,total energy (eV per atom)
1,-3.26
2,-3.39
3,-3.70
4,-3.42
5,-3.40
6,-3.39
7,-2.93
8,-3.63
9,-3.09
10,-5.08
11,-3.18
12,-2.82